# PBE-GGA CsHoLuSe3, optimized geometry
# uncorrected energy = -29.75 eV per formula unit
data_CsHoLuSe3
_symmetry_space_group_name_H-M 'C m c m'
_symmetry_Int_Tables_number 63
_symmetry_space_group_name_Hall '-C 2c 2'
_cell_length_a 4.424
_cell_length_b 16.400
_cell_length_c 11.164
_cell_angle_alpha 90.00
_cell_angle_beta 90.00
_cell_angle_gamma 90.00
loop_
_atom_site_label
_atom_site_fract_x
_atom_site_fract_y
_atom_site_fract_z
_atom_site_occupancy
Cs1 0.000 0.239 0.250 1
Ho1 0.000 0.500 0.000 1
Lu1 0.000 0.035 0.750 1
Se1 0.000 0.117 0.546 1
Se2 0.000 0.443 0.750 1